1.
DFT (PBE) results for YEr2ScSe6 after structural relaxation.

Summary:
ΔE_f (raw): -1.80 eV per atom
electronic total energy: -182.41 eV for the cell shown

The structure in CIF format:
```
data_YEr2ScSe6
_chemical_formula_sum 'Y3 Er6 Sc3 Se18'
_cell_length_a 7.0688
_cell_length_b 7.0688
_cell_length_c 19.1597
_cell_angle_alpha 90.00
_cell_angle_beta 90.00
_cell_angle_gamma 120.00
_space_group_name_H-M_alt 'R 3'
_space_group_IT_number 146
_space_group_name_Hall 'R 3'
loop_
_atom_site_label
_atom_site_fract_x
_atom_site_fract_y
_atom_site_fract_z
Y1 0.0000 0.0000 0.0000
Er1 0.0000 0.0000 0.3034
Er2 0.0000 0.0000 0.8060
Sc1 0.0000 0.0000 0.4966
Se1 0.0273 0.3449 0.5685
Se2 0.0334 0.6675 0.0712
```



2.
DFT (PBE) results for BaTaW2 after structural relaxation.

Summary:
electronic total energy: -68.18 eV for the cell shown
formation enthalpy at 0 K: 1398 meV per atom

The structure in CIF format:
```
data_BaTaW2
_chemical_formula_sum 'Ba2 Ta2 W4'
_cell_length_a 6.013
_cell_length_b 9.808
_cell_length_c 2.882
_cell_angle_alpha 90.00
_cell_angle_beta 108.70
_cell_angle_gamma 90.00
_space_group_name_H-M_alt 'C 1 2/m 1'
_space_group_IT_number 12
loop_
_space_group_symop_operation_xyz
'x,y,z'
'-x,-y,-z'
'-x,y,-z'
'x,-y,z'
'x+1/2,y+1/2,z'
'-x+1/2,-y+1/2,-z'
'-x+1/2,y+1/2,-z'
'x+1/2,-y+1/2,z'
loop_
_atom_site_label
_atom_site_fract_x
_atom_site_fract_y
_atom_site_fract_z
Ba1 0.000 0.000 0.000
Ta1 0.000 0.500 0.000
W1 0.250 0.250 0.500
```



3.
DFT (PBE) results for ErPuGaAu after structural relaxation.

Summary:
electronic total energy: -108.48 eV for the cell shown
formation enthalpy at 0 K: -480 meV per atom

The structure in CIF format:
```
data_ErPuGaAu
_chemical_formula_sum 'Er4 Pu4 Ga4 Au4'
_cell_length_a 7.212
_cell_length_b 7.212
_cell_length_c 7.212
_cell_angle_alpha 90.00
_cell_angle_beta 90.00
_cell_angle_gamma 90.00
_space_group_name_H-M_alt 'F -4 3 m'
_space_group_IT_number 216
_space_group_name_Hall 'F -4 2 3'
loop_
_atom_site_label
_atom_site_fract_x
_atom_site_fract_y
_atom_site_fract_z
Er1 0.000 0.000 0.000
Pu1 0.000 0.000 0.500
Ga1 0.250 0.250 0.250
Au1 0.250 0.250 0.750
```



4.
DFT (PBE) results for Zr2InN after structural relaxation.

Summary:
ΔE_f (raw): -1.07 eV per atom
electronic total energy: -64.87 eV for the cell shown

The structure in CIF format:
```
data_Zr2InN
_chemical_formula_sum 'Zr4 In2 N2'
_cell_length_a 3.3080
_cell_length_b 3.3080
_cell_length_c 14.9988
_cell_angle_alpha 90.00
_cell_angle_beta 90.00
_cell_angle_gamma 120.00
_space_group_name_H-M_alt 'P 63/m m c'
_space_group_IT_number 194
_space_group_name_Hall '-P 6c 2c'
loop_
_atom_site_label
_atom_site_fract_x
_atom_site_fract_y
_atom_site_fract_z
Zr1 0.3333 0.6667 0.0838
In1 0.3333 0.6667 0.7500
N1 0.0000 0.0000 0.0000
```



5.
DFT (PBE) results for PrHoTm after structural relaxation.

Summary:
electronic total energy: -27.49 eV for the cell shown
formation enthalpy at 0 K: 29 meV per atom

The structure in CIF format:
```
data_PrHoTm
_chemical_formula_sum 'Pr2 Ho2 Tm2'
_cell_length_a 3.581
_cell_length_b 3.581
_cell_length_c 15.159
_cell_angle_alpha 90.00
_cell_angle_beta 90.00
_cell_angle_gamma 90.00
_space_group_name_H-M_alt 'I 4 m m'
_space_group_IT_number 107
_space_group_name_Hall 'I 4 -2'
loop_
_atom_site_label
_atom_site_fract_x
_atom_site_fract_y
_atom_site_fract_z
Pr1 0.000 0.000 0.000
Ho1 0.000 0.000 0.670
Tm1 0.000 0.000 0.331
```



6.
DFT (PBE) results for Tb2Pm2SiRh4 after structural relaxation.

Summary:
ΔE_f (raw): -0.57 eV per atom
electronic total energy: -117.41 eV for the cell shown

The structure in CIF format:
```
data_Tb2Pm2SiRh4
_chemical_formula_sum 'Tb4 Pm4 Si2 Rh8'
_cell_length_a 6.581
_cell_length_b 6.581
_cell_length_c 8.834
_cell_angle_alpha 90.00
_cell_angle_beta 90.00
_cell_angle_gamma 90.00
_space_group_name_H-M_alt 'I 4/m m m'
_space_group_IT_number 139
_space_group_name_Hall '-I 4 2'
loop_
_atom_site_label
_atom_site_fract_x
_atom_site_fract_y
_atom_site_fract_z
Tb1 0.000 0.000 0.183
Pm1 0.000 0.500 0.250
Si1 0.000 0.000 0.500
Rh1 0.249 0.249 0.000
```



Q: Look up the electronic total energy of the fourth one.
A: -64.87 eV for the cell shown



Q: Which of these has the lowest electronic total energy?
A: YEr2ScSe6



Q: Which value of electronic total energy does entry 2 give?
A: -68.18 eV for the cell shown



Q: Number 2 is which compound?
A: BaTaW2